Below is a relaxed structure of Mn2FeSiO6, with properties calculated at the PBE+U level.

```
10
Lattice="4.937 0.000 0.000 -2.461 4.303 0.000 -0.036 -2.823 4.526" Properties=species:S:1:pos:R:3 pbc="T T T"
Mn 0.000 0.000 0.000
Mn -0.012 2.871 2.164
Fe -0.033 -0.003 3.966
Si 2.453 1.422 1.855
O -0.923 1.490 0.990
O 0.735 -1.685 3.041
O 1.746 0.043 0.981
O 1.067 1.500 3.063
O 1.606 2.738 0.967
O 3.105 0.179 3.061
```

Calculated values
Magnetization   0.800 μB/atom
Energy   -7.163 eV/atom